14
Lattice="4.486 -6.806 0.000 4.486 6.806 0.000 -4.270 0.000 6.324" Properties=species:S:1:pos:R:3 comment="Tl3InAu3, optimized geometry, DFT PBE" delta_e_f_ev_per_atom=-0.02 pbc="T T T"
Tl 4.486 4.967 0.000
Tl 2.351 3.382 3.162
Tl 2.979 0.000 1.508
Tl 1.724 0.000 4.816
Tl 2.351 -3.382 3.162
Tl 4.486 -4.967 0.000
In -1.558 0.000 4.564
In 6.261 0.000 1.760
Au -1.157 2.354 5.918
Au 0.099 0.000 2.323
Au -1.157 -2.354 5.918
Au 5.859 2.354 0.406
Au 4.604 0.000 4.001
Au 5.859 -2.354 0.406